# MnCoPt3

A relaxed MnCoPt3 crystal (PBE, the Alexandria database).

Output
D(E_F) (states/eV per cell): 12.40
Total DFT energy (no corrections) (eV/atom): -7.099
Volume (Å³/cell): 143.54

POSCAR file:
```
MnCoPt3
1.0
1.9385 -9.5708 0.0000
1.9385 9.5708 0.0000
0.0000 0.0000 3.8682
Mn Co Pt
2 2 6
direct
0.1513 0.8487 0.7500
0.8487 0.1513 0.2500
0.3475 0.6525 0.7500
0.6525 0.3475 0.2500
0.0559 0.9441 0.2500
0.2501 0.7499 0.2500
0.4445 0.5555 0.2500
0.5555 0.4445 0.7500
0.7499 0.2501 0.7500
0.9441 0.0559 0.7500
```